VASP calculation (PBE) on TaMnMo2 after structural relaxation.

Computed properties:
The value obtained for the energy of formation is 0.20 eV per atom. The space-group type is P4/mmm, No. 123.

a = 2.815 Å, b = 2.815 Å, c = 7.780 Å
α = 90.00°, β = 90.00°, γ = 90.00°
Element x y z (fractional)
Ta1 0.500 0.500 0.250
Mo1 0.000 0.000 0.540
Mo2 0.000 0.000 0.960
Mn1 0.500 0.500 0.750